Entry 1:
Computed, not measured: a geometry-optimized ScPd5Au2 structure at the PBE-GGA level of DFT.

Output
* ΔH_f (0 K): -3.923 eV/f.u.
* SG: Pbam

a b c (Å): 5.657 11.290 4.078
angles (deg): 90.00 90.00 90.00
Element x y z (fractional)
Au 0.233 0.128 0.500
Au 0.733 0.372 0.500
Au 0.267 0.628 0.500
Au 0.767 0.872 0.500
Pd 0.000 0.000 0.000
Pd 0.483 0.247 0.000
Pd 0.983 0.253 0.000
Pd 0.500 0.500 0.000
Pd 0.017 0.747 0.000
Pd 0.517 0.753 0.000
Pd 0.735 0.121 0.500
Pd 0.235 0.379 0.500
Pd 0.765 0.621 0.500
Pd 0.265 0.879 0.500
Sc 0.500 0.000 0.000
Sc 0.000 0.500 0.000

Entry 2:
Computed, not measured: a geometry-optimized CsScNiTe3 structure at the PBE-GGA level of DFT.

Output
* total energy: -52.50 eV/cell
* SG: C2/m

a b c (Å): 8.727 8.727 9.980
angles (deg): 90.80 90.80 29.48
Each line ends with the local moment (μB).
Element x y z (fractional)
Cs 0.159 0.159 0.088  0.00
Cs 0.841 0.841 0.912  0.00
Ni 0.512 0.512 0.366  0.11
Ni 0.488 0.488 0.634  0.11
Sc 0.840 0.840 0.417  0.01
Sc 0.160 0.160 0.583  0.01
Te 0.500 0.500 0.000  0.01
Te 0.382 0.382 0.231  0.01
Te 0.669 0.669 0.382  0.01
Te 0.000 0.000 0.500  0.01
Te 0.331 0.331 0.618  0.01
Te 0.618 0.618 0.769  0.01

Entry 3:
Computed, not measured: a geometry-optimized CsCdPO structure at the PBE-GGA level of DFT.

Output
* energy above the lowest structure with this stoichiometry: 0.238 eV per atom
* SG: Pmc2_1

a b c (Å): 4.483 8.039 6.850
angles (deg): 90.00 90.00 90.00
Element x y z (fractional)
Cd 0.500 0.383 0.015
Cd 0.500 0.617 0.515
Cs 0.000 0.210 0.455
Cs 0.000 0.790 0.955
O 0.500 0.400 0.332
O 0.500 0.600 0.832
P 0.000 0.756 0.452
P 0.000 0.244 0.952

Entry 4:
Computed, not measured: a geometry-optimized Lu2AlOs structure at the PBE-GGA level of DFT.

Output
* energy above the lowest structure with this stoichiometry: 0.514 eV per atom
* SG: P6_3/mmc

a b c (Å): 4.168 4.168 13.045
angles (deg): 90.00 90.00 120.00
Element x y z (fractional)
Al 0.333 0.667 0.250
Al 0.667 0.333 0.750
Lu 0.667 0.333 0.099
Lu 0.667 0.333 0.401
Lu 0.333 0.667 0.599
Lu 0.333 0.667 0.901
Os 0.000 0.000 0.000
Os 0.000 0.000 0.500

Entry 5:
Computed, not measured: a geometry-optimized Lu2NiHg structure at the PBE-GGA level of DFT.

Output
* ΔH_f (0 K): -0.503 eV/f.u.
* SG: F-43m

a b c (Å): 4.802 4.802 4.802
angles (deg): 60.00 60.00 60.00
Element x y z (fractional)
Hg 0.500 0.500 0.500
Lu 0.000 0.000 0.000
Lu 0.250 0.250 0.250
Ni 0.750 0.750 0.750

Entry 6:
Computed, not measured: a geometry-optimized Ta2SiSnIr2 structure at the PBE-GGA level of DFT.

Output
* total energy: -217.76 eV/cell
* SG: Pm

a b c (Å): 10.548 4.303 10.573
angles (deg): 90.00 109.47 90.00
Element x y z (fractional)
Ir 0.003 0.000 0.012
Ir 0.371 0.500 0.130
Ir 0.739 0.000 0.241
Ir 0.130 0.500 0.372
Ir 0.491 0.000 0.491
Ir 0.875 0.500 0.624
Ir 0.253 0.000 0.738
Ir 0.635 0.500 0.885
Si 0.751 0.000 0.004
Si 0.125 0.500 0.128
Si 0.497 0.000 0.249
Si 0.251 0.000 0.497
Sn 0.874 0.500 0.372
Sn 0.624 0.500 0.626
Sn 0.003 0.000 0.753
Sn 0.375 0.500 0.876
Ta 0.251 0.000 0.007
Ta 0.621 0.500 0.125
Ta 0.002 0.000 0.251
Ta 0.372 0.500 0.372
Ta 0.745 0.000 0.495
Ta 0.128 0.500 0.618
Ta 0.504 0.000 0.751
Ta 0.879 0.500 0.885

no.,calculated density (g cm⁻³)
1,12.382
2,5.500
3,3.932
4,9.595
5,12.922
6,13.112